Y4InPd: optimized geometry, PBE.

It has space group C2/c (No. 15), with a = 8.8132 Å, b = 12.9263 Å, c = 6.2259 Å, α = 90.00°, β = 107.12° and γ = 90.00°. The asymmetric unit holds Y at (0.1105, 0.1726, 0.0490), Y at (0.2081, 0.4154, 0.3949), In at (0.0000, 0.3777, 0.7500) and Pd at (0.0000, 0.0006, 0.7500).

Its energy relative to the elements is -2.566 eV per formula unit. As for the crystal system: monoclinic. For the density of states at the Fermi level, the calculation gives 28.1 states/eV per cell.



YIn3Pd: optimized geometry, PBE.

It has space group P2_1/c (No. 14), with a = 7.6399 Å, b = 6.5075 Å, c = 10.2072 Å, α = 90.00°, β = 111.91° and γ = 90.00°. The asymmetric unit holds Y at (0.2006, 0.0103, 0.3060), In at (0.0467, 0.7320, 0.0297), In at (0.2477, 0.5044, 0.3537), In at (0.3915, 0.1995, 0.6283) and Pd at (0.4371, 0.7341, 0.0796).

Its energy relative to the elements is -2.209 eV per formula unit. As for the crystal system: monoclinic. For the density of states at the Fermi level, the calculation gives 10.9 states/eV per cell.



Y6In3Pd: optimized geometry, PBE.

It has space group P2_1/m (No. 11), with a = 9.2819 Å, b = 5.2946 Å, c = 11.6060 Å, α = 90.00°, β = 109.17° and γ = 90.00°. The asymmetric unit holds Y at (0.0376, 0.2500, 0.4144), Y at (0.1749, 0.7500, 0.1690), Y at (0.2690, 0.2500, 0.0042), Y at (0.3522, 0.7500, 0.8249), Y at (0.3669, 0.2500, 0.3420), Y at (0.3978, 0.2500, 0.6395), In at (0.0206, 0.7500, 0.8782), In at (0.1097, 0.2500, 0.7183), In at (0.2757, 0.7500, 0.4737) and Pd at (0.4516, 0.7500, 0.0992).

Its energy relative to the elements is -4.530 eV per formula unit. As for the crystal system: monoclinic. For the density of states at the Fermi level, the calculation gives 20.5 states/eV per cell.



Y8InPd2: optimized geometry, PBE.

It has space group C2/m (No. 12), with a = 8.7859 Å, b = 13.6716 Å, c = 5.4582 Å, α = 90.00°, β = 105.61° and γ = 90.00°. The asymmetric unit holds Y at (0.0000, 0.2422, 0.0000), Y at (0.1088, 0.5000, 0.8079), Y at (0.2044, 0.1238, 0.5795), In at (0.0000, 0.0000, 0.0000) and Pd at (0.0000, 0.3049, 0.5000).

Its energy relative to the elements is -3.673 eV per formula unit. As for the crystal system: monoclinic. For the density of states at the Fermi level, the calculation gives 30.3 states/eV per cell.



Y2InPd4: optimized geometry, PBE.

It has space group I4/mmm (No. 139), with a = 4.9208 Å, b = 4.9208 Å, c = 14.2769 Å, α = 90.00°, β = 90.00° and γ = 90.00°. The asymmetric unit holds Y at (0.0000, 0.0000, 0.1298), In at (0.0000, 0.0000, 0.5000), Pd at (0.0000, 0.0000, 0.3139) and Pd at (0.0000, 0.5000, 0.0000).

Its energy relative to the elements is -1.343 eV per formula unit. As for the crystal system: tetragonal. For the density of states at the Fermi level, the calculation gives 7.5 states/eV per cell.



Y4InPd12: optimized geometry, PBE.

It has space group Im-3m (No. 229), with a = 8.5707 Å, b = 8.5707 Å, c = 8.5707 Å, α = 90.00°, β = 90.00° and γ = 90.00°. The asymmetric unit holds Y at (0.2500, 0.2500, 0.2500), In at (0.0000, 0.0000, 0.0000), Pd at (0.0000, 0.0000, 0.3005) and Pd at (0.0000, 0.2500, 0.5000).

Its energy relative to the elements is -13.643 eV per formula unit. As for the crystal system: cubic. For the density of states at the Fermi level, the calculation gives 10.9 states/eV per cell.



Y2InPd2: optimized geometry, PBE.

It has space group P4/mbm (No. 127), with a = 7.8003 Å, b = 7.8003 Å, c = 3.6796 Å, α = 90.00°, β = 90.00° and γ = 90.00°. The asymmetric unit holds Y at (0.1729, 0.3271, 0.0000), In at (0.0000, 0.0000, 0.5000) and Pd at (0.1278, 0.6278, 0.5000).

Its energy relative to the elements is -4.327 eV per formula unit. As for the crystal system: tetragonal. For the density of states at the Fermi level, the calculation gives 4.9 states/eV per cell.



Y5InPd2: optimized geometry, PBE.

It has space group I4/mcm (No. 140), with a = 7.8851 Å, b = 7.8851 Å, c = 13.5375 Å, α = 90.00°, β = 90.00° and γ = 90.00°. The asymmetric unit holds Y at (0.0000, 0.0000, 0.0000), Y at (0.1585, 0.3415, 0.1412), In at (0.0000, 0.0000, 0.2500) and Pd at (0.1336, 0.3664, 0.5000).

Its energy relative to the elements is -4.819 eV per formula unit. As for the crystal system: tetragonal. For the density of states at the Fermi level, the calculation gives 41.9 states/eV per cell.



YIn2Pd9: optimized geometry, PBE.

It has space group P4/mmm (No. 123), with a = 4.0731 Å, b = 4.0731 Å, c = 12.2089 Å, α = 90.00°, β = 90.00° and γ = 90.00°. The asymmetric unit holds Y at (0.0000, 0.0000, 0.0000), In at (0.0000, 0.0000, 0.3384), Pd at (0.0000, 0.5000, 0.1729), Pd at (0.0000, 0.5000, 0.5000), Pd at (0.5000, 0.5000, 0.0000) and Pd at (0.5000, 0.5000, 0.3347).

Its energy relative to the elements is -6.863 eV per formula unit. As for the crystal system: tetragonal. For the density of states at the Fermi level, the calculation gives 10.8 states/eV per cell.



Y3In2Pd: optimized geometry, PBE.

It has space group Pnma (No. 62), with a = 13.1144 Å, b = 4.9572 Å, c = 9.4017 Å, α = 90.00°, β = 90.00° and γ = 90.00°. The asymmetric unit holds Y at (0.0754, 0.2500, 0.0854), Y at (0.1106, 0.7500, 0.5663), Y at (0.2371, 0.7500, 0.2438), In at (0.0101, 0.2500, 0.7264), In at (0.1786, 0.7500, 0.9156) and Pd at (0.1091, 0.2500, 0.3818).

Its energy relative to the elements is -3.598 eV per formula unit. As for the crystal system: orthorhombic. For the density of states at the Fermi level, the calculation gives 17.1 states/eV per cell.



Y7In2Pd2: optimized geometry, PBE.

It has space group Cmmm (No. 65), with a = 8.1593 Å, b = 11.1799 Å, c = 7.1040 Å, α = 90.00°, β = 90.00° and γ = 90.00°. The asymmetric unit holds Y at (0.0000, 0.0000, 0.0000), Y at (0.0000, 0.5000, 0.2479), Y at (0.2500, 0.2500, 0.2557), In at (0.1750, 0.0000, 0.5000) and Pd at (0.0000, 0.2903, 0.0000).

Its energy relative to the elements is -3.981 eV per formula unit. As for the crystal system: orthorhombic. For the density of states at the Fermi level, the calculation gives 22.1 states/eV per cell.



Y2Zn2InPd5: optimized geometry, PBE.

It has space group P4/mbm (No. 127), with a = 9.7726 Å, b = 9.7726 Å, c = 3.8138 Å, α = 90.00°, β = 90.00° and γ = 90.00°. The asymmetric unit holds Y at (0.1764, 0.3236, 0.0000), Zn at (0.1201, 0.6201, 0.0000), In at (0.0000, 0.0000, 0.0000), Pd at (0.0000, 0.5000, 0.5000) and Pd at (0.0674, 0.7919, 0.5000).

Its energy relative to the elements is -7.088 eV per formula unit. As for the crystal system: tetragonal. For the density of states at the Fermi level, the calculation gives 10.4 states/eV per cell.



YbInPd: optimized geometry, PBE.

It has space group P-62m (No. 189), with a = 7.6764 Å, b = 7.6764 Å, c = 3.9637 Å, α = 90.00°, β = 90.00° and γ = 120.00°. The asymmetric unit holds Yb at (0.0000, 0.5946, 0.0000), In at (0.0000, 0.2599, 0.5000), Pd at (0.0000, 0.0000, 0.0000) and Pd at (0.3333, 0.6667, 0.5000).

Its energy relative to the elements is -2.267 eV per formula unit. As for the crystal system: hexagonal. For the density of states at the Fermi level, the calculation gives 43.3 states/eV per cell.



Yb2In13Pd6: optimized geometry, PBE.

It has space group C2/m (No. 12), with a = 17.1073 Å, b = 4.4199 Å, c = 13.6033 Å, α = 90.00°, β = 118.49° and γ = 90.00°. The asymmetric unit holds Yb at (0.1766, 0.0000, 0.2710), In at (0.0000, 0.0000, 0.0000), In at (0.0019, 0.0000, 0.6727), In at (0.0118, 0.5000, 0.1732), In at (0.0930, 0.5000, 0.5980), In at (0.1529, 0.5000, 0.0767), In at (0.2014, 0.5000, 0.8768), In at (0.2022, 0.0000, 0.5405), Pd at (0.1131, 0.5000, 0.4044), Pd at (0.1155, 0.0000, 0.9174) and Pd at (0.1814, 0.0000, 0.7360).

Its energy relative to the elements is -9.898 eV per formula unit. As for the crystal system: monoclinic. For the density of states at the Fermi level, the calculation gives 70.3 states/eV per cell.



Yb2InPd2: optimized geometry, PBE.

It has space group P4/mbm (No. 127), with a = 7.4829 Å, b = 7.4829 Å, c = 4.0336 Å, α = 90.00°, β = 90.00° and γ = 90.00°. The asymmetric unit holds Yb at (0.1692, 0.3308, 0.0000), In at (0.0000, 0.0000, 0.5000) and Pd at (0.1325, 0.6325, 0.5000).

Its energy relative to the elements is -3.850 eV per formula unit. As for the crystal system: tetragonal. For the density of states at the Fermi level, the calculation gives 59.6 states/eV per cell.



Zn2InPd2: optimized geometry, PBE.

It has space group P-3m1 (No. 164), with a = 4.4842 Å, b = 4.4842 Å, c = 5.1936 Å, α = 90.00°, β = 90.00° and γ = 120.00°. The asymmetric unit holds Zn at (0.3333, 0.6667, 0.1493), In at (0.0000, 0.0000, 0.5000) and Pd at (0.3333, 0.6667, 0.6610).

Its energy relative to the elements is -1.737 eV per formula unit. As for the crystal system: trigonal. For the density of states at the Fermi level, the calculation gives 2.3 states/eV per cell.



ZnIn3Pd4: optimized geometry, PBE.

It has space group P4/mmm (No. 123), with a = 3.2242 Å, b = 3.2242 Å, c = 13.1541 Å, α = 90.00°, β = 90.00° and γ = 90.00°. The asymmetric unit holds Zn at (0.0000, 0.0000, 0.0000), In at (0.0000, 0.0000, 0.2392), In at (0.0000, 0.0000, 0.5000), Pd at (0.5000, 0.5000, 0.1111) and Pd at (0.5000, 0.5000, 0.3684).

Its energy relative to the elements is -3.915 eV per formula unit. As for the crystal system: tetragonal. For the density of states at the Fermi level, the calculation gives 4.0 states/eV per cell.



ZnIn3Pd6: optimized geometry, PBE.

It has space group P2_1/m (No. 11), with a = 7.6418 Å, b = 4.6793 Å, c = 10.0395 Å, α = 90.00°, β = 111.58° and γ = 90.00°. The asymmetric unit holds Zn at (0.0467, 0.2500, 0.4140), In at (0.2142, 0.2500, 0.0133), In at (0.3615, 0.7500, 0.7834), In at (0.4643, 0.2500, 0.6179), Pd at (0.0646, 0.7500, 0.8657), Pd at (0.1424, 0.2500, 0.6976), Pd at (0.1559, 0.7500, 0.1798), Pd at (0.2437, 0.7500, 0.4899), Pd at (0.3327, 0.2500, 0.3223) and Pd at (0.4642, 0.7500, 0.0782).

Its energy relative to the elements is -4.828 eV per formula unit. As for the crystal system: monoclinic. For the density of states at the Fermi level, the calculation gives 7.5 states/eV per cell.



ZnInPd2: optimized geometry, PBE.

It has space group P4/mmm (No. 123), with a = 3.1390 Å, b = 3.1390 Å, c = 6.5721 Å, α = 90.00°, β = 90.00° and γ = 90.00°. The asymmetric unit holds Zn at (0.0000, 0.0000, 0.0000), In at (0.0000, 0.0000, 0.5000) and Pd at (0.5000, 0.5000, 0.2300).

Its energy relative to the elements is -1.993 eV per formula unit. As for the crystal system: tetragonal. For the density of states at the Fermi level, the calculation gives 1.8 states/eV per cell.